P) VASP calculation (PBEsol) on crystalline TaRe2Rh at its relaxed geometry.

```
data_TaRe2Rh
_chemical_formula_sum 'Ta2 Re4 Rh2'
_cell_length_a 3.851
_cell_length_b 3.851
_cell_length_c 8.100
_cell_angle_alpha 90.00
_cell_angle_beta 90.00
_cell_angle_gamma 90.00
_space_group_name_H-M_alt 'I 4/m m m'
_space_group_IT_number 139
_space_group_name_Hall '-I 4 2'
loop_
_atom_site_label
_atom_site_fract_x
_atom_site_fract_y
_atom_site_fract_z
Ta1 0.000 0.000 0.000
Re1 0.000 0.500 0.250
Rh1 0.000 0.000 0.500
```


Q) VASP calculation (PBEsol) on crystalline TaRe2Rh at its relaxed geometry.

```
data_TaRe2Rh
_chemical_formula_sum 'Ta4 Re8 Rh4'
_cell_length_a 6.235
_cell_length_b 6.235
_cell_length_c 6.235
_cell_angle_alpha 90.00
_cell_angle_beta 90.00
_cell_angle_gamma 90.00
_space_group_name_H-M_alt 'F -4 3 m'
_space_group_IT_number 216
_space_group_name_Hall 'F -4 2 3'
loop_
_atom_site_label
_atom_site_fract_x
_atom_site_fract_y
_atom_site_fract_z
Ta1 0.000 0.000 0.000
Re1 0.000 0.000 0.500
Re2 0.250 0.250 0.750
Rh1 0.250 0.250 0.250
```


Stability summary: most stable P), least stable Q).


P) VASP calculation (PBEsol) on crystalline ReTcRh2 at its relaxed geometry.

```
data_ReTcRh2
_chemical_formula_sum 'Re1 Tc1 Rh2'
_cell_length_a 2.681
_cell_length_b 4.307
_cell_length_c 4.750
_cell_angle_alpha 90.00
_cell_angle_beta 90.00
_cell_angle_gamma 90.00
_space_group_name_H-M_alt 'P m m 2'
_space_group_IT_number 25
loop_
_space_group_symop_operation_xyz
'x,y,z'
'-x,-y,z'
'-x,y,z'
'x,-y,z'
loop_
_atom_site_label
_atom_site_fract_x
_atom_site_fract_y
_atom_site_fract_z
Re1 0.000 0.000 0.000
Tc1 0.000 0.500 0.325
Rh1 0.500 0.000 0.496
Rh2 0.500 0.500 0.825
```


Q) VASP calculation (PBEsol) on crystalline ReTcRh2 at its relaxed geometry.

```
data_ReTcRh2
_chemical_formula_sum 'Re2 Tc2 Rh4'
_cell_length_a 3.766
_cell_length_b 3.766
_cell_length_c 7.760
_cell_angle_alpha 90.00
_cell_angle_beta 90.00
_cell_angle_gamma 90.00
_space_group_name_H-M_alt 'I 4/m m m'
_space_group_IT_number 139
_space_group_name_Hall '-I 4 2'
loop_
_atom_site_label
_atom_site_fract_x
_atom_site_fract_y
_atom_site_fract_z
Re1 0.000 0.000 0.000
Tc1 0.000 0.000 0.500
Rh1 0.000 0.500 0.250
```


Stability summary: most stable P), least stable Q).


P) VASP calculation (PBEsol) on crystalline ReRhW2 at its relaxed geometry.

```
data_ReRhW2
_chemical_formula_sum 'Re2 Rh2 W4'
_cell_length_a 5.554
_cell_length_b 7.795
_cell_length_c 2.744
_cell_angle_alpha 90.00
_cell_angle_beta 90.00
_cell_angle_gamma 90.00
_space_group_name_H-M_alt 'C m m m'
_space_group_IT_number 65
_space_group_name_Hall '-C 2 2'
loop_
_atom_site_label
_atom_site_fract_x
_atom_site_fract_y
_atom_site_fract_z
Re1 0.000 0.000 0.000
Rh1 0.000 0.500 0.000
W1 0.250 0.250 0.500
```


Q) VASP calculation (PBEsol) on crystalline ReRhW2 at its relaxed geometry.

```
data_ReRhW2
_chemical_formula_sum 'Re1 Rh1 W2'
_cell_length_a 2.748
_cell_length_b 3.894
_cell_length_c 5.560
_cell_angle_alpha 90.00
_cell_angle_beta 90.00
_cell_angle_gamma 90.00
_space_group_name_H-M_alt 'P m m m'
_space_group_IT_number 47
loop_
_space_group_symop_operation_xyz
'x,y,z'
'-x,-y,-z'
'-x,-y,z'
'x,y,-z'
'x,-y,-z'
'-x,y,z'
'-x,y,-z'
'x,-y,z'
loop_
_atom_site_label
_atom_site_fract_x
_atom_site_fract_y
_atom_site_fract_z
Re1 0.000 0.000 0.000
Rh1 0.000 0.000 0.500
W1 0.500 0.500 0.250
```


R) VASP calculation (PBEsol) on crystalline ReRhW2 at its relaxed geometry.

```
data_ReRhW2
_chemical_formula_sum 'Re2 Rh2 W4'
_cell_length_a 9.129
_cell_length_b 2.734
_cell_length_c 4.833
_cell_angle_alpha 90.00
_cell_angle_beta 99.43
_cell_angle_gamma 90.00
_space_group_name_H-M_alt 'C 1 2/m 1'
_space_group_IT_number 12
loop_
_space_group_symop_operation_xyz
'x,y,z'
'-x,-y,-z'
'-x,y,-z'
'x,-y,z'
'x+1/2,y+1/2,z'
'-x+1/2,-y+1/2,-z'
'-x+1/2,y+1/2,-z'
'x+1/2,-y+1/2,z'
loop_
_atom_site_label
_atom_site_fract_x
_atom_site_fract_y
_atom_site_fract_z
Re1 0.000 0.000 0.000
Rh1 0.000 0.500 0.500
W1 0.246 0.000 0.747
```


Stability summary: most stable P), least stable R).


P) VASP calculation (PBEsol) on crystalline Zn2ReRh at its relaxed geometry.

```
data_Zn2ReRh
_chemical_formula_sum 'Zn4 Re2 Rh2'
_cell_length_a 5.366
_cell_length_b 7.673
_cell_length_c 2.656
_cell_angle_alpha 90.00
_cell_angle_beta 90.00
_cell_angle_gamma 90.00
_space_group_name_H-M_alt 'C m m m'
_space_group_IT_number 65
_space_group_name_Hall '-C 2 2'
loop_
_atom_site_label
_atom_site_fract_x
_atom_site_fract_y
_atom_site_fract_z
Zn1 0.250 0.250 0.000
Re1 0.000 0.000 0.500
Rh1 0.000 0.500 0.500
```


Q) VASP calculation (PBEsol) on crystalline Zn2ReRh at its relaxed geometry.

```
data_Zn2ReRh
_chemical_formula_sum 'Zn4 Re2 Rh2'
_cell_length_a 8.803
_cell_length_b 2.696
_cell_length_c 4.667
_cell_angle_alpha 90.00
_cell_angle_beta 98.16
_cell_angle_gamma 90.00
_space_group_name_H-M_alt 'C 1 m 1'
_space_group_IT_number 8
loop_
_space_group_symop_operation_xyz
'x,y,z'
'x,-y,z'
'x+1/2,y+1/2,z'
'x+1/2,-y+1/2,z'
loop_
_atom_site_label
_atom_site_fract_x
_atom_site_fract_y
_atom_site_fract_z
Zn1 0.000 0.000 0.000
Zn2 0.246 0.000 0.782
Re1 0.495 0.000 0.496
Rh1 0.250 0.500 0.285
```


Stability summary: most stable Q), least stable P).